# PBE LiMg3Zn8, optimized geometry
data_LiMg3Zn8
_chemical_formula_sum 'Li1 Mg3 Zn8'
_space_group_name_H-M_alt 'P 1'
_space_group_IT_number 1
_cell_length_a 8.9522
_cell_length_b 8.9522
_cell_length_c 8.9522
_cell_angle_alpha 33.53
_cell_angle_beta 33.53
_cell_angle_gamma 33.53
loop_
_space_group_symop_operation_xyz
'x,y,z'
loop_
_atom_site_label
_atom_site_fract_x
_atom_site_fract_y
_atom_site_fract_z
Li1 0.1259 0.1259 0.1259
Zn1 0.0626 0.5630 0.5630
Zn2 0.0624 0.5613 0.0624
Mg1 0.6250 0.6250 0.6250
Mg2 0.0015 0.0015 0.0015
Zn3 0.3126 0.3126 0.3126
Mg3 0.4981 0.4981 0.4981
Zn4 0.0624 0.0624 0.5613
Zn5 0.5630 0.5630 0.0626
Zn6 0.8121 0.8121 0.8121
Zn7 0.5613 0.0624 0.0624
Zn8 0.5630 0.0626 0.5630
# Symmetry   R3m
# Final energy   -18.5 eV/cell
# Calculated volume   16.25 Å³ per atom